First-principles (PBE) data for LaZnSiBr2 after structural relaxation, as listed in the Alexandria database.

Summary:
Formation energy from raw total energies = -0.0613 eV per atom
Symmetry = No. 123

Structure (POSCAR):
```
LaZnSiBr2
1.0
5.206 0.000 0.000
0.000 5.206 0.000
0.000 0.000 6.004
La Zn Si Br
1 1 1 2
direct
0.000 0.000 0.000
0.500 0.500 0.000
0.000 0.000 0.500
0.000 0.500 0.500
0.500 0.000 0.500
```

First-principles (PBE) data for CuBi3Te after structural relaxation, as listed in the Alexandria database.

Summary:
Formation energy from raw total energies = 0.3842 eV per atom
Relative energy among the computed polymorphs = 0 meV/atom
Symmetry = No. 221

Structure (POSCAR):
```
CuBi3Te
1.0
5.295 0.000 0.000
0.000 5.295 0.000
0.000 0.000 5.295
Cu Bi Te
1 3 1
direct
0.000 0.000 0.000
0.000 0.000 0.500
0.000 0.500 0.000
0.500 0.000 0.000
0.500 0.500 0.500
```